# 1
First-principles (GGA-PBE) data for crystalline BiBO3 at its relaxed geometry, as listed in the Alexandria database.

The structure in POSCAR format:
```
BiBO3
1.0
5.3991 0.0000 0.0000
0.0000 6.2748 0.0000
0.0000 0.0000 7.5840
O Bi B
12 4 4
Cartesian
0.6993 4.7049 4.0046
3.3988 4.7072 0.2127
1.4424 2.2451 7.0034
4.8300 3.0154 5.2009
0.5691 3.2594 1.4089
3.9568 4.0297 3.2114
2.0003 1.5676 4.0046
3.2687 6.1528 5.2009
4.1419 0.8923 3.2114
2.1305 0.1220 1.4089
1.2572 5.3825 7.0034
4.6999 1.5698 0.2127
2.9986 2.2071 1.7290
5.1001 5.3445 1.7290
0.2991 0.9303 5.5210
2.4005 4.0677 5.5210
3.0997 0.7276 4.1383
4.9990 3.8649 4.1383
0.4001 2.4098 0.3463
2.2994 5.5472 0.3463
```

Space-group type   Pna2_1 (33)
D(E_F)   0.00 states/eV per cell
Crystal system   orthorhombic
Raw formation energy   -1.83 eV/atom

***

# 2
First-principles (GGA-PBE) data for crystalline Bi2B2O7 at its relaxed geometry, as listed in the Alexandria database.

The structure in POSCAR format:
```
Bi2B2O7
1.0
-3.4536 -2.8509 1.3024
6.0127 -5.8408 -0.8944
-0.3089 4.1230 8.0621
B O Bi
4 14 4
Cartesian
-0.4411 -2.9344 2.3321
-0.3757 0.6289 3.1842
2.6912 -1.6342 6.1380
2.6258 -5.1976 5.2859
4.4390 -5.0382 1.6040
-0.0114 -0.2732 4.1373
-1.4929 -2.3098 1.5760
2.8782 -1.3362 4.7826
-2.1888 0.4695 6.8661
-0.6281 -3.2324 3.6874
1.9193 -0.6568 6.9701
1.2876 -2.0130 6.6142
5.0838 -3.2583 4.3772
0.3308 -3.9118 1.4999
0.9625 -2.5557 1.8559
3.7430 -2.2589 6.8940
2.2615 -4.2955 4.3328
-2.8337 -1.3104 4.0929
3.0437 -6.5382 0.9822
3.2963 -2.6537 3.1153
-0.7935 1.9696 7.4878
-1.0462 -1.9149 5.3547
```

Space-group type   P-1 (2)
D(E_F)   0.00 states/eV per cell
Crystal system   triclinic
Energy relative to the lowest polymorph listed for this composition   62.7 meV/atom
Raw formation energy   -1.57 eV/atom

***

# 3
First-principles (GGA-PBE) data for crystalline BiB3O6 at its relaxed geometry, as listed in the Alexandria database.

The structure in POSCAR format:
```
BiB3O6
1.0
4.4221 -0.1805 0.0351
1.1547 4.2725 0.0351
1.3209 0.9692 6.4789
O Bi B
6 1 3
Cartesian
1.9228 4.0213 4.4420
2.3101 2.1548 2.9755
4.1491 3.5041 3.5735
4.5731 4.5903 5.7357
1.1468 2.0762 0.8133
2.4848 4.4337 2.1071
1.2870 4.0922 0.0351
1.6173 1.5434 1.9982
4.9402 3.9816 4.5508
2.7290 3.5117 3.2745
```

Space-group type   C2 (5)
D(E_F)   0.00 states/eV per cell
Crystal system   monoclinic
Energy relative to the lowest polymorph listed for this composition   0.0 meV/atom
Raw formation energy   -2.16 eV/atom

***

# 4
First-principles (GGA-PBE) data for crystalline Bi2B2O7 at its relaxed geometry, as listed in the Alexandria database.

The structure in POSCAR format:
```
Bi2B2O7
1.0
-4.8770 -4.1058 -0.4656
2.3746 -3.8483 4.8181
-4.2587 2.2523 5.7511
O B Bi
14 4 4
Cartesian
-6.4759 -1.8024 3.9143
-3.3162 -2.2291 3.2398
-4.3797 -5.6807 5.6154
-2.3813 -0.0211 4.4882
-4.8558 -0.1516 7.1790
-4.6361 -4.0779 2.9629
-4.0211 -2.8155 0.9696
-3.4449 -3.4727 6.8638
-2.7400 -2.8863 9.1340
-5.9662 -3.0197 5.7806
-2.1250 -1.6239 7.1407
-0.2852 -3.8994 6.1893
-0.7948 -2.6820 4.3231
-1.9053 -5.5502 2.9246
-2.7644 -2.6640 7.8007
-6.5909 -3.0339 4.5583
-3.9967 -3.0377 2.3029
-0.1702 -2.6679 5.5453
-5.3361 -4.5096 7.2571
-1.4249 -1.1921 2.8465
-2.2218 -4.7933 4.8862
-4.5393 -0.9085 5.2174
```

Space-group type   P-1 (2)
Crystal system   triclinic
Energy relative to the lowest polymorph listed for this composition   63.5 meV/atom
Raw formation energy   -1.57 eV/atom

***

# 5
First-principles (GGA-PBE) data for crystalline Bi4B3O12 at its relaxed geometry, as listed in the Alexandria database.

The structure in POSCAR format:
```
Bi4B3O12
1.0
-0.7958 7.7042 -3.4634
-3.0987 0.1157 7.8973
8.1986 -2.1730 0.2105
O Bi B
24 8 6
Cartesian
4.2224 0.5084 1.8364
4.0372 5.3775 2.3180
2.0608 2.0227 4.6300
3.4495 -0.2865 6.1022
2.0159 5.0916 4.5389
1.3587 4.4206 -0.2665
-1.7356 4.2618 4.6267
4.4422 3.3006 4.4680
2.6617 1.7013 0.3130
0.0626 2.9233 1.2359
1.3148 0.6747 2.8094
1.0084 4.9639 2.0291
4.9300 -0.5050 4.2452
-1.6495 6.0805 3.0862
6.6485 -1.3718 1.9224
5.6568 3.9893 -1.1421
-2.4100 1.8850 6.3575
-0.2762 2.0308 4.1543
3.6371 5.2060 -1.5004
0.6560 0.0058 5.0018
1.1067 6.4995 -2.5122
4.4280 2.8496 1.4307
4.8920 1.1803 -0.3518
-0.8686 4.9532 0.3993
-2.2272 6.6202 0.9985
3.0092 -1.0458 2.8835
1.4598 -0.9879 6.8321
2.7900 3.6604 3.0105
0.6379 0.8369 0.6883
2.4863 3.0876 -1.6577
6.5856 2.0011 -1.5525
-1.8293 2.7681 2.7302
0.3903 4.3153 0.8495
4.7503 -0.8515 5.6742
-2.2834 5.6078 4.3389
0.9388 1.1835 4.1489
4.0510 1.5599 0.8071
5.0653 5.1259 -1.8855
```

Space-group type   I-43d (220)
D(E_F)   24.26 states/eV per cell
Crystal system   cubic
Raw formation energy   -1.53 eV/atom

***

# 6
First-principles (GGA-PBE) data for crystalline BiBO3 at its relaxed geometry, as listed in the Alexandria database.

The structure in POSCAR format:
```
BiBO3
1.0
-1.0739 1.1520 -3.1739
-3.1165 -1.6198 0.4665
-1.2993 2.9331 1.5043
Bi O B
1 3 1
Cartesian
-2.7448 1.2326 -0.6015
-0.6497 1.4665 0.7521
-0.5370 0.5760 -1.5869
-1.5582 -0.8099 0.2333
0.0000 0.0000 0.0000
```

Space-group type   Pm-3m (221)
D(E_F)   0.00 states/eV per cell
Crystal system   cubic
Raw formation energy   -0.93 eV/atom

***

# 7
First-principles (GGA-PBE) data for crystalline Bi2BO4 at its relaxed geometry, as listed in the Alexandria database.

The structure in POSCAR format:
```
Bi2BO4
1.0
-1.0668 -3.4216 4.2544
2.6657 -3.6940 -2.3024
6.4416 3.8324 1.3090
O Bi B
8 4 2
Cartesian
4.1476 -1.4916 4.3662
2.8836 -2.2489 1.0943
1.9719 -3.2831 -0.9361
5.1568 -1.0343 2.1667
3.9157 0.6857 3.2387
6.0685 -0.0001 4.1971
4.1247 -3.9688 0.0223
3.8928 -1.7915 -1.1052
1.2512 -5.2789 1.4316
4.7704 -3.2589 2.2650
6.7892 1.9958 1.8294
3.2700 -0.0243 0.9959
4.8174 -0.4739 3.5089
3.2230 -2.8092 -0.2479
```

Space-group type   P2_1/m (11)
D(E_F)   3.91 states/eV per cell
Crystal system   monoclinic
Raw formation energy   -1.43 eV/atom

***

# 8
First-principles (GGA-PBE) data for crystalline BiB3O6 at its relaxed geometry, as listed in the Alexandria database.

The structure in POSCAR format:
```
BiB3O6
1.0
-2.0455 3.3906 -1.7411
-3.9724 -1.9260 0.9161
-0.2360 8.3963 16.6281
Bi O B
4 24 12
Cartesian
-1.2909 3.5692 5.2227
-4.1938 6.4170 14.1791
-5.1753 6.6435 10.3997
-2.2724 3.7957 1.4434
-3.5460 4.9332 9.1435
-2.2590 7.7481 12.2409
-3.9671 1.3523 2.3114
-3.0135 -0.7593 1.7576
-4.6585 9.8215 14.5964
-2.9842 4.6618 3.6260
-3.0210 0.4983 4.3913
-3.6116 5.7656 11.8862
-2.3349 1.2650 0.5773
-1.2242 5.6248 12.2638
-4.6525 8.1083 12.2976
-2.3334 9.1167 14.8176
-3.6495 2.4653 8.7450
-1.7124 5.9169 7.8174
-4.1222 3.9940 6.9433
-2.0890 6.5183 10.1651
-3.1608 9.9573 12.7478
-0.7987 8.1028 16.3744
-1.2247 4.3633 9.6319
-4.0557 2.6216 4.3684
-1.9432 2.3192 3.2146
-4.5631 0.2793 0.1881
-3.4474 6.1533 6.0303
-5.0389 4.7913 4.8941
-3.2774 10.0600 14.2338
-4.5197 5.2023 6.2334
-2.6237 6.8774 6.9585
-3.3562 8.7089 11.9847
-3.4131 0.5246 1.1977
-4.2646 4.0132 3.9073
-5.0902 1.4262 -0.7595
-2.1708 5.3823 9.1981
-3.2242 1.6931 3.5406
-4.1847 3.9025 8.3726
-1.7183 9.3538 16.0906
-2.3159 6.3889 11.6179
```

Space-group type   Pca2_1 (29)
D(E_F)   0.00 states/eV per cell
Crystal system   orthorhombic
Energy relative to the lowest polymorph listed for this composition   16.2 meV/atom
Raw formation energy   -2.14 eV/atom

***

# 9
First-principles (GGA-PBE) data for crystalline Bi2BO6 at its relaxed geometry, as listed in the Alexandria database.

The structure in POSCAR format:
```
Bi2BO6
1.0
-5.4330 0.4268 1.1034
-1.1685 -3.5685 -4.3729
2.7740 -6.1376 4.2673
Bi O B
4 12 2
Cartesian
-0.4361 -3.6239 -1.8194
-3.3914 -5.6553 2.8173
-1.8143 -2.0440 1.0582
-2.0132 -7.2352 -0.0603
-4.8051 -5.0331 -1.7243
-2.3404 -7.8273 2.1349
-1.4871 -1.4519 -1.1371
-3.3487 -5.7218 0.6904
-1.2631 -5.7422 -1.4944
-2.2727 -3.6407 -2.9437
-2.5644 -3.5369 2.4922
0.9776 -4.2461 2.7222
-3.5621 -2.2957 -0.4918
-0.4788 -3.5573 0.3074
-1.5548 -5.6384 3.9416
-0.2655 -6.9835 1.4896
-3.3008 -1.5708 -1.6347
1.3870 -3.0688 2.1336
```

Space-group type   P2_1/c (14)
D(E_F)   5.43 states/eV per cell
Crystal system   monoclinic
Raw formation energy   -0.95 eV/atom

***

# 10
First-principles (GGA-PBE) data for crystalline Bi6B10O21 at its relaxed geometry, as listed in the Alexandria database.

The structure in POSCAR format:
```
Bi6B10O21
1.0
6.9777 -0.0047 0.0397
-3.1727 6.6836 -0.1131
0.7699 -2.6925 10.5781
B O Bi
10 21 6
Cartesian
3.4138 1.3999 6.2754
1.1611 2.5865 4.2292
1.7965 4.6025 2.8172
4.0555 3.7212 2.3502
2.0197 2.2988 1.9249
2.5552 1.6876 8.5798
2.7784 -0.6161 7.6875
0.3814 1.2740 0.3347
0.5194 0.2652 8.1544
4.1935 2.7123 10.1699
1.0654 1.4678 8.5958
3.0399 0.0492 6.3303
1.3113 -0.7968 7.7729
3.5095 2.5186 1.9089
2.9058 2.5551 9.6875
1.0683 5.8166 2.6624
5.0956 1.6621 10.3341
3.2636 4.7832 2.7318
4.1823 1.8812 5.2452
3.5066 -1.8303 7.8422
1.3960 3.6465 1.7657
3.1789 0.3399 8.7390
1.5246 1.7436 3.1994
1.5350 3.9372 4.1743
1.6691 1.4313 0.8171
3.0503 2.2428 7.3052
6.1262 0.0864 8.0463
0.3927 2.1052 5.2595
-0.5207 2.3243 0.1706
-1.5512 3.9000 2.4584
0.0000 0.0000 0.0000
4.9029 -0.5307 9.7982
-1.3488 5.4975 4.4646
-0.3280 4.5171 0.7064
5.5209 0.6460 3.9115
5.9237 -1.5111 6.0401
-0.9459 3.3404 6.5932
```

Space-group type   P-1 (2)
Crystal system   triclinic
Raw formation energy   -1.92 eV/atom

***

# 11
First-principles (GGA-PBE) data for crystalline BiBOs2O at its relaxed geometry, as listed in the Alexandria database.

The structure in POSCAR format:
```
BiBOs2O
1.0
-1.3788 -2.9870 2.3783
3.4618 -2.7322 -1.4246
2.3202 1.3527 3.0441
Os B Bi O
2 1 1 1
Cartesian
-0.6894 -1.4935 1.1891
1.1601 0.6763 1.5220
1.7309 -1.3661 -0.7123
2.2016 -2.1833 1.9989
0.0000 0.0000 0.0000
```

Space-group type   P4/mmm (123)
D(E_F)   5.56 states/eV per cell
Crystal system   tetragonal
Raw formation energy   1.36 eV/atom

***

# 12
First-principles (GGA-PBE) data for crystalline Bi2BOsO at its relaxed geometry, as listed in the Alexandria database.

The structure in POSCAR format:
```
Bi2BOsO
1.0
5.2200 0.0000 0.0000
0.0000 4.0118 0.0000
0.0000 0.0000 5.2200
Os B O Bi
1 1 1 2
Cartesian
0.0000 0.0000 0.0000
0.0000 2.0059 0.0000
2.6100 2.0059 2.6100
2.6100 0.0000 0.0000
0.0000 0.0000 2.6100
```

Space-group type   P4/mmm (123)
D(E_F)   2.64 states/eV per cell
Crystal system   tetragonal
Raw formation energy   0.75 eV/atom

***

# 13
First-principles (GGA-PBE) data for crystalline BiBP2O8 at its relaxed geometry, as listed in the Alexandria database.

The structure in POSCAR format:
```
BiBP2O8
1.0
5.0227 -0.2971 0.5300
2.0533 4.5934 0.5300
1.2281 0.7456 7.7504
O B P Bi
8 1 2 1
Cartesian
2.2013 1.3366 7.2059
3.8047 3.8207 2.6231
2.4881 1.5107 4.6590
3.1590 3.4286 6.1873
5.1450 1.6133 2.6231
5.8159 3.5312 4.1514
4.4993 1.2212 6.1873
6.1027 3.7054 1.6045
0.0000 0.0000 0.0000
5.1311 3.1154 2.8655
3.1729 1.9265 5.9448
0.6140 0.3728 3.8752
```

Space-group type   C2/m (12)
D(E_F)   0.00 states/eV per cell
Crystal system   monoclinic
Raw formation energy   -1.89 eV/atom

***

# 14
First-principles (GGA-PBE) data for crystalline BiBP2O at its relaxed geometry, as listed in the Alexandria database.

The structure in POSCAR format:
```
BiBP2O
1.0
-3.7377 3.8064 -0.2264
-3.3041 -3.3912 -2.4684
-1.0043 -0.8377 2.4951
O P Bi B
1 2 1 1
Cartesian
-0.5021 -0.4189 1.2476
-1.6520 -1.6956 -1.2342
-1.8688 1.9032 -0.1132
-4.0230 -0.2113 -0.0999
0.0000 0.0000 0.0000
```

Space-group type   P4/mmm (123)
D(E_F)   2.52 states/eV per cell
Crystal system   tetragonal
Energy relative to the lowest polymorph listed for this composition   0.0 meV/atom
Raw formation energy   0.25 eV/atom

***

# 15
First-principles (GGA-PBE) data for crystalline Bi2BPO at its relaxed geometry, as listed in the Alexandria database.

The structure in POSCAR format:
```
Bi2BPO
1.0
-4.0388 0.9356 4.5660
0.3322 -2.6650 0.8399
4.6037 1.7446 3.7146
B O P Bi
1 1 1 2
Cartesian
0.1661 -1.3325 0.4199
0.0000 0.0000 0.0000
0.4485 0.0076 4.5603
-2.0194 0.4678 2.2830
2.3018 0.8723 1.8573
```

Space-group type   P4/mmm (123)
D(E_F)   2.95 states/eV per cell
Crystal system   tetragonal
Raw formation energy   0.48 eV/atom

***

# 16
First-principles (GGA-PBE) data for crystalline BiBPO2 at its relaxed geometry, as listed in the Alexandria database.

The structure in POSCAR format:
```
BiBPO2
1.0
-3.7203 -1.5142 -0.7250
1.5635 -3.7670 -0.1558
-0.8424 -0.5784 5.5310
B Bi O P
1 1 2 1
Cartesian
-1.4996 -2.9298 2.3252
0.0000 0.0000 0.0000
0.7818 -1.8835 -0.0779
-1.8602 -0.7571 -0.3625
-0.4212 -0.2892 2.7655
```

Space-group type   P4/mmm (123)
D(E_F)   2.16 states/eV per cell
Crystal system   tetragonal
Energy relative to the lowest polymorph listed for this composition   869.5 meV/atom
Raw formation energy   0.93 eV/atom

***

# 17
First-principles (GGA-PBE) data for crystalline BiBPO2 at its relaxed geometry, as listed in the Alexandria database.

The structure in POSCAR format:
```
BiBPO2
1.0
-1.4367 2.4122 -2.5869
-3.1697 -2.1171 -0.2137
-1.6719 2.2022 2.9820
B Bi O P
1 1 2 1
Cartesian
0.0000 0.0000 0.0000
-3.1392 1.2486 0.0907
-0.7184 1.2061 -1.2934
-1.5848 -1.0586 -0.1068
-0.8360 1.1011 1.4910
```

Space-group type   P4/mmm (123)
D(E_F)   1.62 states/eV per cell
Crystal system   tetragonal
Energy relative to the lowest polymorph listed for this composition   0.0 meV/atom
Raw formation energy   0.06 eV/atom

***

# 18
First-principles (GGA-PBE) data for crystalline BiBP2O at its relaxed geometry, as listed in the Alexandria database.

The structure in POSCAR format:
```
BiBP2O
1.0
5.3275 0.0000 0.0000
0.0000 5.3275 0.0000
0.0000 0.0000 4.1702
Bi P O B
1 2 1 1
Cartesian
0.0000 0.0000 0.0000
2.6637 0.0000 0.0000
0.0000 2.6637 0.0000
0.0000 0.0000 2.0851
2.6637 2.6637 2.0851
```

Space-group type   P4/mmm (123)
D(E_F)   4.79 states/eV per cell
Crystal system   tetragonal
Energy relative to the lowest polymorph listed for this composition   1406.8 meV/atom
Raw formation energy   1.66 eV/atom